<A>
Material: KBaLa2Ir
Method: DFT, PBE
State: optimized geometry

Calculated values
Its space-group type is P4/mmm.

a b c (Å): 5.702 5.702 6.601
angles (deg): 90.00 90.00 90.00
Atoms (fractional coordinates):
K 0.000 0.000 0.000
Ba 0.500 0.500 0.000
La 0.000 0.500 0.500
La 0.500 0.000 0.500
Ir 0.500 0.500 0.500

---

<B>
Material: KBaLa2Ir
Method: DFT, PBE
State: optimized geometry

Calculated values
Its space-group type is P4/mmm.

a b c (Å): 5.615 5.615 6.742
angles (deg): 90.00 90.00 90.00
Atoms (fractional coordinates):
K 0.000 0.000 0.000
Ba 0.500 0.500 0.000
La 0.000 0.500 0.500
La 0.500 0.000 0.500
Ir 0.000 0.000 0.500

---

Name the least stable of them. <B>.

---

<A>
Material: Ba2LaIr
Method: DFT, PBE
State: optimized geometry

Calculated values
Its space-group type is Cmmm.

a b c (Å): 5.543 15.111 4.541
angles (deg): 90.00 90.00 90.00
Atoms (fractional coordinates):
Ba 0.000 0.143 0.000
Ba 0.000 0.857 0.000
Ba 0.500 0.357 0.000
Ba 0.500 0.643 0.000
La 0.000 0.500 0.500
La 0.500 0.000 0.500
Ir 0.000 0.000 0.500
Ir 0.500 0.500 0.500

---

<B>
Material: Ba2LaIr
Method: DFT, PBE
State: optimized geometry

Calculated values
Its space-group type is Cm.

a b c (Å): 7.591 5.359 8.013
angles (deg): 90.00 102.79 90.00
Atoms (fractional coordinates):
Ba 0.000 0.000 0.000
Ba 0.126 0.500 0.366
Ba 0.500 0.500 0.000
Ba 0.626 0.000 0.366
La 0.258 0.000 0.678
La 0.758 0.500 0.678
Ir 0.114 0.500 0.779
Ir 0.614 0.000 0.779

---

<C>
Material: Ba2LaIr
Method: DFT, PBE
State: optimized geometry

Calculated values
Its space-group type is I4/mmm.

a b c (Å): 4.577 4.577 11.977
angles (deg): 90.00 90.00 90.00
Atoms (fractional coordinates):
Ba 0.000 0.500 0.250
Ba 0.000 0.500 0.750
Ba 0.500 0.000 0.250
Ba 0.500 0.000 0.750
La 0.000 0.000 0.000
La 0.500 0.500 0.500
Ir 0.000 0.000 0.500
Ir 0.500 0.500 0.000

---

<D>
Material: Ba2LaIr
Method: DFT, PBE
State: optimized geometry

Calculated values
Its space-group type is Fm-3m.

a b c (Å): 7.925 7.925 7.925
angles (deg): 90.00 90.00 90.00
Atoms (fractional coordinates):
Ba 0.250 0.250 0.250
Ba 0.250 0.250 0.750
Ba 0.250 0.750 0.250
Ba 0.250 0.750 0.750
Ba 0.750 0.250 0.250
Ba 0.750 0.250 0.750
Ba 0.750 0.750 0.250
Ba 0.750 0.750 0.750
La 0.000 0.000 0.000
La 0.000 0.500 0.500
La 0.500 0.000 0.500
La 0.500 0.500 0.000
Ir 0.000 0.000 0.500
Ir 0.000 0.500 0.000
Ir 0.500 0.000 0.000
Ir 0.500 0.500 0.500

---

Name the least stable of them. <D>.

---

<A>
Material: BaLa2Ir2
Method: DFT, PBE
State: optimized geometry

Calculated values
Its space-group type is I4/mmm.

a b c (Å): 5.316 5.316 11.453
angles (deg): 90.00 90.00 90.00
Atoms (fractional coordinates):
Ba 0.000 0.000 0.000
Ba 0.500 0.500 0.500
La 0.000 0.000 0.328
La 0.000 0.000 0.672
La 0.500 0.500 0.172
La 0.500 0.500 0.828
Ir 0.000 0.500 0.250
Ir 0.000 0.500 0.750
Ir 0.500 0.000 0.250
Ir 0.500 0.000 0.750

---

<B>
Material: BaLa2Ir2
Method: DFT, PBE
State: optimized geometry

Calculated values
Its space-group type is P4/mbm.

a b c (Å): 8.336 8.336 3.928
angles (deg): 90.00 90.00 90.00
Atoms (fractional coordinates):
Ba 0.000 0.000 0.000
Ba 0.500 0.500 0.000
La 0.148 0.352 0.500
La 0.352 0.852 0.500
La 0.648 0.148 0.500
La 0.852 0.648 0.500
Ir 0.133 0.633 0.000
Ir 0.367 0.133 0.000
Ir 0.633 0.867 0.000
Ir 0.867 0.367 0.000

---

Name the least stable of them. <A>.

---

<A>
Material: BaLiLa2Ir
Method: DFT, PBE
State: optimized geometry

Calculated values
Its space-group type is P4/mmm.

a b c (Å): 5.577 5.577 5.660
angles (deg): 90.00 90.00 90.00
Atoms (fractional coordinates):
Ba 0.000 0.000 0.000
Li 0.500 0.500 0.000
La 0.000 0.500 0.500
La 0.500 0.000 0.500
Ir 0.500 0.500 0.500

---

<B>
Material: BaLiLa2Ir
Method: DFT, PBE
State: optimized geometry

Calculated values
Its space-group type is P4/mmm.

a b c (Å): 5.595 5.595 6.436
angles (deg): 90.00 90.00 90.00
Atoms (fractional coordinates):
Ba 0.000 0.000 0.000
Li 0.500 0.500 0.000
La 0.000 0.500 0.500
La 0.500 0.000 0.500
Ir 0.000 0.000 0.500

---

Name the least stable of them. <A>.